(1)
# Mg14MoW (GGA-PBE, relaxed)
# * formation energy from the elements: 241 meV per atom
data_Mg14MoW
_chemical_formula_sum 'Mg14 Mo1 W1'
_cell_length_a 6.210
_cell_length_b 6.210
_cell_length_c 9.854
_cell_angle_alpha 90.00
_cell_angle_beta 90.00
_cell_angle_gamma 120.00
_symmetry_space_group_name_H-M 'P 1'
_symmetry_Int_Tables_number 1
loop_
_symmetry_equiv_pos_as_xyz
'x,y,z'
loop_
_atom_site_label
_atom_site_fract_x
_atom_site_fract_y
_atom_site_fract_z
Mg1 0.499 0.997 0.000
Mg2 0.689 0.845 0.749
Mg3 0.499 0.501 0.000
Mg4 0.667 0.333 0.750
Mg5 0.155 0.845 0.251
Mg6 0.499 0.998 0.500
Mg7 0.155 0.845 0.749
Mg8 0.499 0.501 0.500
Mg9 0.002 0.501 0.500
Mg10 0.003 0.501 0.000
Mg11 0.155 0.311 0.251
Mg12 0.155 0.311 0.749
Mg13 0.689 0.845 0.251
Mg14 0.667 0.333 0.250
Mo1 0.000 0.000 0.000
W1 0.000 0.000 0.500

***

(2)
# Ac3SmSi2N6 (GGA-PBE, relaxed)
# * E_form (uncorrected): -1.06 eV per atom
data_Ac3SmSi2N6
_chemical_formula_sum 'Ac3 Sm1 Si2 N6'
_cell_length_a 6.008
_cell_length_b 6.008
_cell_length_c 6.881
_cell_angle_alpha 90.00
_cell_angle_beta 90.00
_cell_angle_gamma 120.00
_symmetry_space_group_name_H-M 'P 1'
_symmetry_Int_Tables_number 1
loop_
_symmetry_equiv_pos_as_xyz
'x,y,z'
loop_
_atom_site_label
_atom_site_fract_x
_atom_site_fract_y
_atom_site_fract_z
Sm1 0.000 0.000 0.500
Si1 0.333 0.667 0.206
Si2 0.667 0.333 0.794
N1 0.823 0.177 0.715
N2 0.177 0.354 0.285
N3 0.177 0.823 0.285
N4 0.823 0.646 0.715
N5 0.646 0.823 0.285
N6 0.354 0.177 0.715
Ac1 0.333 0.667 0.660
Ac2 0.667 0.333 0.340
Ac3 0.000 0.000 0.000

***

(3)
# LaHg3Pd (GGA-PBE, relaxed)
# * energy above the most stable polymorph in this dataset: 0.289 eV/atom
# * formation energy from the elements: -157 meV per atom
data_LaHg3Pd
_chemical_formula_sum 'La1 Hg3 Pd1'
_cell_length_a 5.183
_cell_length_b 5.183
_cell_length_c 5.183
_cell_angle_alpha 90.00
_cell_angle_beta 90.00
_cell_angle_gamma 90.00
_symmetry_space_group_name_H-M 'P 1'
_symmetry_Int_Tables_number 1
loop_
_symmetry_equiv_pos_as_xyz
'x,y,z'
loop_
_atom_site_label
_atom_site_fract_x
_atom_site_fract_y
_atom_site_fract_z
Pd1 0.000 0.000 0.000
Hg1 0.500 0.000 0.000
Hg2 0.000 0.500 0.000
Hg3 0.000 0.000 0.500
La1 0.500 0.500 0.500

***

(4)
# CaAg6Sn4 (GGA-PBE, relaxed)
# * formation energy from the elements: -23 meV per atom
data_CaAg6Sn4
_chemical_formula_sum 'Ca1 Ag6 Sn4'
_cell_length_a 7.260
_cell_length_b 7.260
_cell_length_c 7.260
_cell_angle_alpha 87.20
_cell_angle_beta 121.63
_cell_angle_gamma 121.63
_symmetry_space_group_name_H-M 'P 1'
_symmetry_Int_Tables_number 1
loop_
_symmetry_equiv_pos_as_xyz
'x,y,z'
loop_
_atom_site_label
_atom_site_fract_x
_atom_site_fract_y
_atom_site_fract_z
Ag1 0.326 0.572 0.572
Ag2 0.500 0.000 0.500
Ag3 0.000 0.753 0.428
Ag4 0.674 0.247 0.247
Ag5 0.500 0.500 0.000
Ag6 0.000 0.428 0.753
Sn1 0.000 0.540 0.103
Sn2 0.563 0.460 0.460
Sn3 0.437 0.897 0.897
Sn4 0.000 0.103 0.540
Ca1 0.000 0.000 0.000

***

(5)
# MgSnRuRh (GGA-PBE, relaxed)
# * formation energy from the elements: -424 meV per atom
data_MgSnRuRh
_chemical_formula_sum 'Mg1 Sn1 Ru1 Rh1'
_cell_length_a 4.478
_cell_length_b 4.478
_cell_length_c 4.478
_cell_angle_alpha 60.00
_cell_angle_beta 60.00
_cell_angle_gamma 60.00
_symmetry_space_group_name_H-M 'P 1'
_symmetry_Int_Tables_number 1
loop_
_symmetry_equiv_pos_as_xyz
'x,y,z'
loop_
_atom_site_label
_atom_site_fract_x
_atom_site_fract_y
_atom_site_fract_z
Ru1 0.000 0.000 0.000
Rh1 0.500 0.500 0.500
Mg1 0.750 0.750 0.750
Sn1 0.250 0.250 0.250

***

(6)
# TiGaCoCu (GGA-PBE, relaxed)
# * formation energy from the elements: -327 meV per atom
data_TiGaCoCu
_chemical_formula_sum 'Ti1 Ga1 Co1 Cu1'
_cell_length_a 4.193
_cell_length_b 4.193
_cell_length_c 4.193
_cell_angle_alpha 60.00
_cell_angle_beta 60.00
_cell_angle_gamma 60.00
_symmetry_space_group_name_H-M 'P 1'
_symmetry_Int_Tables_number 1
loop_
_symmetry_equiv_pos_as_xyz
'x,y,z'
loop_
_atom_site_label
_atom_site_fract_x
_atom_site_fract_y
_atom_site_fract_z
Ti1 0.250 0.250 0.250
Ga1 0.750 0.750 0.750
Cu1 0.500 0.500 0.500
Co1 0.000 0.000 0.000

***

(7)
# Sc2SbAs (GGA-PBE, relaxed)
# * E_form (uncorrected): -0.23 eV per atom
data_Sc2SbAs
_chemical_formula_sum 'Sc2 Sb1 As1'
_cell_length_a 4.980
_cell_length_b 4.980
_cell_length_c 4.980
_cell_angle_alpha 60.00
_cell_angle_beta 60.00
_cell_angle_gamma 60.00
_symmetry_space_group_name_H-M 'P 1'
_symmetry_Int_Tables_number 1
loop_
_symmetry_equiv_pos_as_xyz
'x,y,z'
loop_
_atom_site_label
_atom_site_fract_x
_atom_site_fract_y
_atom_site_fract_z
Sc1 0.250 0.250 0.250
Sc2 0.000 0.000 0.000
As1 0.500 0.500 0.500
Sb1 0.750 0.750 0.750

***

(8)
# Pu3SbSe3 (GGA-PBE, relaxed)
# * E_form (uncorrected): -1.18 eV per atom
data_Pu3SbSe3
_chemical_formula_sum 'Pu6 Sb2 Se6'
_cell_length_a 8.853
_cell_length_b 8.853
_cell_length_c 7.721
_cell_angle_alpha 55.02
_cell_angle_beta 55.02
_cell_angle_gamma 60.00
_symmetry_space_group_name_H-M 'P 1'
_symmetry_Int_Tables_number 1
loop_
_symmetry_equiv_pos_as_xyz
'x,y,z'
loop_
_atom_site_label
_atom_site_fract_x
_atom_site_fract_y
_atom_site_fract_z
Se1 0.807 0.100 0.725
Se2 0.100 0.368 0.725
Se3 0.368 0.807 0.725
Se4 0.632 0.193 0.275
Se5 0.193 0.900 0.275
Se6 0.900 0.632 0.275
Sb1 0.660 0.660 0.019
Sb2 0.340 0.340 0.981
Pu1 0.934 0.283 0.231
Pu2 0.552 0.934 0.231
Pu3 0.283 0.552 0.231
Pu4 0.717 0.448 0.769
Pu5 0.066 0.717 0.769
Pu6 0.448 0.066 0.769

***

(9)
# Ta2TcP (GGA-PBE, relaxed)
# * formation energy from the elements: -92 meV per atom
data_Ta2TcP
_chemical_formula_sum 'Ta2 Tc1 P1'
_cell_length_a 4.736
_cell_length_b 4.736
_cell_length_c 4.736
_cell_angle_alpha 128.68
_cell_angle_beta 128.68
_cell_angle_gamma 75.52
_symmetry_space_group_name_H-M 'P 1'
_symmetry_Int_Tables_number 1
loop_
_symmetry_equiv_pos_as_xyz
'x,y,z'
loop_
_atom_site_label
_atom_site_fract_x
_atom_site_fract_y
_atom_site_fract_z
P1 0.000 0.000 0.000
Ta1 0.250 0.750 0.500
Ta2 0.750 0.250 0.500
Tc1 0.500 0.500 0.000

***

(10)
# Ba2TeAs (GGA-PBE, relaxed)
# * energy above the most stable polymorph in this dataset: 0.660 eV/atom
# * E_form (uncorrected): -0.57 eV per atom
data_Ba2TeAs
_chemical_formula_sum 'Ba2 Te1 As1'
_cell_length_a 5.756
_cell_length_b 5.756
_cell_length_c 5.756
_cell_angle_alpha 60.00
_cell_angle_beta 60.00
_cell_angle_gamma 60.00
_symmetry_space_group_name_H-M 'P 1'
_symmetry_Int_Tables_number 1
loop_
_symmetry_equiv_pos_as_xyz
'x,y,z'
loop_
_atom_site_label
_atom_site_fract_x
_atom_site_fract_y
_atom_site_fract_z
Ba1 0.000 0.000 0.000
Ba2 0.250 0.250 0.250
Te1 0.750 0.750 0.750
As1 0.500 0.500 0.500

***

(11)
# Pr2NdSmY2 (GGA-PBE, relaxed)
# * formation energy from the elements: 245 meV per atom
data_Pr2NdSmY2
_chemical_formula_sum 'Pr4 Nd2 Sm2 Y4'
_cell_length_a 3.442
_cell_length_b 6.764
_cell_length_c 17.967
_cell_angle_alpha 90.00
_cell_angle_beta 90.00
_cell_angle_gamma 90.00
_symmetry_space_group_name_H-M 'P 1'
_symmetry_Int_Tables_number 1
loop_
_symmetry_equiv_pos_as_xyz
'x,y,z'
loop_
_atom_site_label
_atom_site_fract_x
_atom_site_fract_y
_atom_site_fract_z
Y1 0.000 0.764 0.822
Y2 0.500 0.264 0.678
Y3 0.000 0.236 0.178
Y4 0.500 0.736 0.322
Sm1 0.500 0.500 0.000
Sm2 0.000 0.000 0.500
Nd1 0.500 0.500 0.500
Nd2 0.000 0.000 0.000
Pr1 0.000 0.269 0.848
Pr2 0.500 0.231 0.348
Pr3 0.500 0.769 0.652
Pr4 0.000 0.731 0.152

***

(12)
# CoIr2Pt (GGA-PBE, relaxed)
# * energy above the most stable polymorph in this dataset: 0.016 eV/atom
# * formation energy from the elements: 21 meV per atom
data_CoIr2Pt
_chemical_formula_sum 'Co1 Ir2 Pt1'
_cell_length_a 4.682
_cell_length_b 4.682
_cell_length_c 4.682
_cell_angle_alpha 131.77
_cell_angle_beta 131.77
_cell_angle_gamma 70.60
_symmetry_space_group_name_H-M 'P 1'
_symmetry_Int_Tables_number 1
loop_
_symmetry_equiv_pos_as_xyz
'x,y,z'
loop_
_atom_site_label
_atom_site_fract_x
_atom_site_fract_y
_atom_site_fract_z
Ir1 0.250 0.750 0.500
Ir2 0.000 0.000 0.000
Pt1 0.500 0.500 0.000
Co1 0.750 0.250 0.500

***

(13)
# BeTl3Zn (GGA-PBE, relaxed)
# * energy above the most stable polymorph in this dataset: 0.377 eV/atom
# * formation energy from the elements: 761 meV per atom
data_BeTl3Zn
_chemical_formula_sum 'Be1 Tl3 Zn1'
_cell_length_a 5.352
_cell_length_b 5.352
_cell_length_c 5.352
_cell_angle_alpha 90.00
_cell_angle_beta 90.00
_cell_angle_gamma 90.00
_symmetry_space_group_name_H-M 'P 1'
_symmetry_Int_Tables_number 1
loop_
_symmetry_equiv_pos_as_xyz
'x,y,z'
loop_
_atom_site_label
_atom_site_fract_x
_atom_site_fract_y
_atom_site_fract_z
Zn1 0.000 0.000 0.000
Be1 0.500 0.500 0.500
Tl1 0.000 0.500 0.000
Tl2 0.000 0.000 0.500
Tl3 0.500 0.000 0.000

***

(14)
# KTlRhPb2 (GGA-PBE, relaxed)
# * formation energy from the elements: 24 meV per atom
data_KTlRhPb2
_chemical_formula_sum 'K1 Tl1 Rh1 Pb2'
_cell_length_a 5.426
_cell_length_b 5.426
_cell_length_c 5.399
_cell_angle_alpha 90.00
_cell_angle_beta 90.00
_cell_angle_gamma 90.00
_symmetry_space_group_name_H-M 'P 1'
_symmetry_Int_Tables_number 1
loop_
_symmetry_equiv_pos_as_xyz
'x,y,z'
loop_
_atom_site_label
_atom_site_fract_x
_atom_site_fract_y
_atom_site_fract_z
K1 0.500 0.500 0.500
Tl1 0.000 0.000 0.500
Pb1 0.500 0.000 0.000
Pb2 0.000 0.500 0.000
Rh1 0.000 0.000 0.000

***

(15)
# HfVNi2H (GGA-PBE, relaxed)
# * total DFT energy (no corrections): -6.9383 eV/atom
data_HfVNi2H
_chemical_formula_sum 'Hf1 V1 Ni2 H1'
_cell_length_a 3.786
_cell_length_b 3.786
_cell_length_c 3.974
_cell_angle_alpha 90.00
_cell_angle_beta 90.00
_cell_angle_gamma 90.00
_symmetry_space_group_name_H-M 'P 1'
_symmetry_Int_Tables_number 1
loop_
_symmetry_equiv_pos_as_xyz
'x,y,z'
loop_
_atom_site_label
_atom_site_fract_x
_atom_site_fract_y
_atom_site_fract_z
V1 0.000 0.000 0.500
Ni1 0.500 0.000 0.000
Ni2 0.000 0.500 0.000
H1 0.000 0.000 0.000
Hf1 0.500 0.500 0.500

***

(16)
# GdZnPd (GGA-PBE, relaxed)
# * energy above the most stable polymorph in this dataset: 0.137 eV/atom
# * formation energy from the elements: -589 meV per atom
data_GdZnPd
_chemical_formula_sum 'Gd1 Zn1 Pd1'
_cell_length_a 3.530
_cell_length_b 3.530
_cell_length_c 5.403
_cell_angle_alpha 109.07
_cell_angle_beta 109.07
_cell_angle_gamma 90.00
_symmetry_space_group_name_H-M 'P 1'
_symmetry_Int_Tables_number 1
loop_
_symmetry_equiv_pos_as_xyz
'x,y,z'
loop_
_atom_site_label
_atom_site_fract_x
_atom_site_fract_y
_atom_site_fract_z
Zn1 0.262 0.262 0.523
Gd1 0.952 0.952 0.904
Pd1 0.636 0.636 0.272

***

(17)
# K4PmU3O12 (GGA-PBE, relaxed)
# * E_form (uncorrected): -2.90 eV per atom
data_K4PmU3O12
_chemical_formula_sum 'K4 Pm1 U3 O12'
_cell_length_a 7.543
_cell_length_b 7.543
_cell_length_c 7.543
_cell_angle_alpha 109.47
_cell_angle_beta 109.47
_cell_angle_gamma 109.47
_symmetry_space_group_name_H-M 'P 1'
_symmetry_Int_Tables_number 1
loop_
_symmetry_equiv_pos_as_xyz
'x,y,z'
loop_
_atom_site_label
_atom_site_fract_x
_atom_site_fract_y
_atom_site_fract_z
K1 0.000 0.000 0.500
K2 0.000 0.500 0.000
K3 0.500 0.500 0.500
K4 0.500 0.000 0.000
O1 0.000 0.732 0.732
O2 0.750 0.500 0.250
O3 0.500 0.750 0.250
O4 0.000 0.268 0.268
O5 0.250 0.750 0.500
O6 0.268 0.000 0.268
O7 0.732 0.732 0.000
O8 0.732 0.000 0.732
O9 0.268 0.268 0.000
O10 0.750 0.250 0.500
O11 0.500 0.250 0.750
O12 0.250 0.500 0.750
U1 0.500 0.000 0.500
U2 0.000 0.500 0.500
U3 0.500 0.500 0.000
Pm1 0.000 0.000 0.000

***

(18)
# SrMg2P (GGA-PBE, relaxed)
# * formation energy from the elements: -445 meV per atom
data_SrMg2P
_chemical_formula_sum 'Sr1 Mg2 P1'
_cell_length_a 4.076
_cell_length_b 4.149
_cell_length_c 6.600
_cell_angle_alpha 71.36
_cell_angle_beta 90.00
_cell_angle_gamma 90.00
_symmetry_space_group_name_H-M 'P 1'
_symmetry_Int_Tables_number 1
loop_
_symmetry_equiv_pos_as_xyz
'x,y,z'
loop_
_atom_site_label
_atom_site_fract_x
_atom_site_fract_y
_atom_site_fract_z
Mg1 0.000 0.998 0.132
Mg2 0.500 0.452 0.223
P1 0.000 0.324 0.476
Sr1 0.500 0.725 0.669

***

(19)
# TaTlMo2 (GGA-PBE, relaxed)
# * energy above the most stable polymorph in this dataset: 0.291 eV/atom
# * formation energy from the elements: 632 meV per atom
data_TaTlMo2
_chemical_formula_sum 'Ta1 Tl1 Mo2'
_cell_length_a 10.091
_cell_length_b 10.091
_cell_length_c 10.091
_cell_angle_alpha 16.66
_cell_angle_beta 16.66
_cell_angle_gamma 16.66
_symmetry_space_group_name_H-M 'P 1'
_symmetry_Int_Tables_number 1
loop_
_symmetry_equiv_pos_as_xyz
'x,y,z'
loop_
_atom_site_label
_atom_site_fract_x
_atom_site_fract_y
_atom_site_fract_z
Ta1 0.250 0.250 0.250
Mo1 0.502 0.502 0.502
Mo2 0.998 0.998 0.998
Tl1 0.750 0.750 0.750

***

(20)
# Er5Zn4Ag (GGA-PBE, relaxed)
# * formation energy from the elements: -347 meV per atom
data_Er5Zn4Ag
_chemical_formula_sum 'Er5 Zn4 Ag1'
_cell_length_a 3.552
_cell_length_b 3.552
_cell_length_c 17.713
_cell_angle_alpha 90.00
_cell_angle_beta 90.00
_cell_angle_gamma 90.00
_symmetry_space_group_name_H-M 'P 1'
_symmetry_Int_Tables_number 1
loop_
_symmetry_equiv_pos_as_xyz
'x,y,z'
loop_
_atom_site_label
_atom_site_fract_x
_atom_site_fract_y
_atom_site_fract_z
Er1 0.500 0.500 0.896
Er2 0.500 0.500 0.500
Er3 0.500 0.500 0.698
Er4 0.500 0.500 0.302
Er5 0.500 0.500 0.104
Zn1 0.000 0.000 0.599
Zn2 0.000 0.000 0.204
Zn3 0.000 0.000 0.401
Zn4 0.000 0.000 0.796
Ag1 0.000 0.000 0.000

***

no.,theoretical density (g/cm3)
1,3.1
2,7.5
3,10.1
4,7.3
5,9.1
6,7.6
7,5.4
8,9.2
9,12.9
10,5.9
11,6.0
12,19.0
13,7.4
14,7.9
15,10.1
16,9.2
17,6.1
18,2.6
19,13.0
20,9.0